Record 1
A geometry-optimized Pm2Mo2C2N structure. Source: Alexandria via LeMat-Bulk, functional PBE. Values from VASP.

```
&SYSTEM
  ibrav = 0, nat = 7, ntyp = 4
/
ATOMIC_SPECIES
Mo 95.94 Mo.upf
Pm 145.00 Pm.upf
N 14.01 N.upf
C 12.01 C.upf
CELL_PARAMETERS angstrom
3.337 0.000 0.000
1.669 5.705 -0.213
1.669 1.942 5.523
ATOMIC_POSITIONS crystal
Mo 0.795 0.308 0.102
Mo 0.205 0.692 0.898
Pm 0.443 0.784 0.329
Pm 0.557 0.216 0.671
N 0.000 0.000 0.000
C 0.161 0.420 0.258
C 0.839 0.580 0.742
```

The total magnetization comes out at 0.000 μB/atom. Its calculated volume is 15.22 Å³ per atom. The final energy is -60.71 eV/cell. The space-group type is No. 12.

=====

Record 2
A geometry-optimized TaIn2Sb structure. Source: Alexandria via LeMat-Bulk, functional PBE. Values from VASP.

```
&SYSTEM
  ibrav = 0, nat = 4, ntyp = 3
/
ATOMIC_SPECIES
Sb 121.76 Sb.upf
Ta 180.95 Ta.upf
In 114.82 In.upf
CELL_PARAMETERS angstrom
3.919 0.000 0.000
0.000 3.919 0.000
0.000 0.000 5.834
ATOMIC_POSITIONS crystal
Sb 0.500 0.500 0.250
Ta 0.500 0.500 0.750
In 0.000 0.000 0.989
In 0.000 0.000 0.511
```

The total magnetization comes out at 0.000 μB/atom. Its calculated volume is 22.40 Å³ per atom. The final energy is -20.04 eV/cell. The space-group type is No. 123.

=====

Record 3
A geometry-optimized TiAu3Br structure. Source: Alexandria via LeMat-Bulk, functional PBE. Values from VASP.

```
&SYSTEM
  ibrav = 0, nat = 5, ntyp = 3
/
ATOMIC_SPECIES
Au 196.97 Au.upf
Br 79.90 Br.upf
Ti 47.87 Ti.upf
CELL_PARAMETERS angstrom
5.080 0.000 0.000
0.000 5.080 0.000
0.000 0.000 5.080
ATOMIC_POSITIONS crystal
Au 0.000 0.000 0.500
Au 0.500 0.000 0.000
Au 0.000 0.500 0.000
Br 0.500 0.500 0.500
Ti 0.000 0.000 0.000
```

The total magnetization comes out at 0.000 μB/atom. Its calculated volume is 26.23 Å³ per atom. The space-group type is No. 221. The offset from the most stable computed form comes out at 0 meV/atom.

=====

Record 4
A geometry-optimized AcPm4Zn structure. Source: Alexandria via LeMat-Bulk, functional PBE. Values from VASP.

```
&SYSTEM
  ibrav = 0, nat = 6, ntyp = 3
/
ATOMIC_SPECIES
Ac 227.00 Ac.upf
Zn 65.41 Zn.upf
Pm 145.00 Pm.upf
CELL_PARAMETERS angstrom
3.729 0.000 0.000
0.000 3.729 0.000
0.000 0.000 14.127
ATOMIC_POSITIONS crystal
Ac 0.000 0.000 0.000
Zn 0.500 0.500 0.500
Pm 0.000 0.000 0.375
Pm 0.500 0.500 0.193
Pm 0.500 0.500 0.807
Pm 0.000 0.000 0.625
```

The total magnetization comes out at 0.000 μB/atom. Its calculated volume is 32.75 Å³ per atom. The final energy is -24.89 eV/cell. The space-group type is No. 123.

=====

Record 5
A geometry-optimized Ti2ReAg structure. Source: Alexandria via LeMat-Bulk, functional PBE. Values from VASP.

```
&SYSTEM
  ibrav = 0, nat = 8, ntyp = 3
/
ATOMIC_SPECIES
Ti 47.87 Ti.upf
Re 186.21 Re.upf
Ag 107.87 Ag.upf
CELL_PARAMETERS angstrom
7.064 0.000 0.000
0.000 7.064 0.000
3.532 3.532 2.789
ATOMIC_POSITIONS crystal
Ti 0.375 0.358 0.750
Ti 0.642 0.125 0.250
Ti 0.108 0.625 0.250
Ti 0.875 0.892 0.750
Re 0.750 0.250 0.500
Re 0.000 0.000 0.000
Ag 0.500 0.500 0.000
Ag 0.250 0.750 0.500
```

The total magnetization comes out at 0.000 μB/atom. Its calculated volume is 17.39 Å³ per atom. The space-group type is No. 122. The offset from the most stable computed form comes out at 651 meV/atom.

=====

Record 6
A geometry-optimized SiRh2 structure. Source: Alexandria via LeMat-Bulk, functional PBE. Values from VASP.

```
&SYSTEM
  ibrav = 0, nat = 6, ntyp = 2
/
ATOMIC_SPECIES
Rh 102.91 Rh.upf
Si 28.09 Si.upf
CELL_PARAMETERS angstrom
-2.851 2.851 2.509
2.851 -2.851 2.509
2.851 2.851 -2.509
ATOMIC_POSITIONS crystal
Rh 0.835 0.335 0.169
Rh 0.665 0.835 0.500
Rh 0.335 0.165 0.500
Rh 0.165 0.665 0.831
Si 0.250 0.250 0.000
Si 0.750 0.750 0.000
```

The total magnetization comes out at 0.000 μB/atom. Its calculated volume is 13.60 Å³ per atom. The final energy is -43.77 eV/cell. The space-group type is No. 140.